Entry 1:
DFT (GGA-PBE) results for ZnRuAu2 after structural relaxation.

Structure (extended XYZ):
```
4
Lattice="4.679 -1.433 0.000 4.679 1.433 0.000 -0.904 0.000 4.837" Properties=species:S:1:pos:R:3 pbc="T T T"
Zn 0.000 0.000 0.000
Ru 4.227 0.000 2.418
Au 1.658 0.000 3.626
Au 6.796 0.000 1.211
```

***

Entry 2:
DFT (GGA-PBE) results for ZnRuAu2 after structural relaxation.

Structure (extended XYZ):
```
4
Lattice="0.000 3.188 3.188 3.188 0.000 3.188 3.188 3.188 0.000" Properties=species:S:1:pos:R:3 pbc="T T T"
Zn 0.000 0.000 0.000
Ru 1.594 1.594 1.594
Au 3.188 3.188 3.188
Au 4.782 4.782 4.782
```

***

Entry 3:
DFT (GGA-PBE) results for ZnRuAu2 after structural relaxation.

Structure (extended XYZ):
```
4
Lattice="2.865 0.000 0.000 0.000 2.865 0.000 0.000 0.000 7.872" Properties=species:S:1:pos:R:3 pbc="T T T"
Zn 0.000 0.000 0.000
Ru 1.432 1.432 6.138
Au 0.000 0.000 4.144
Au 1.432 1.432 1.920
```

***

no.,calculated formation energy (meV per atom),N(E_F) (states/eV per cell)
1,198,3.465
2,222,5.507
3,107,3.014